# Ac3GeP2Rh9 PBE relaxed
# Spin magnetization in μB/f.u.: 0.000
# DFT formation energy in eV/atom: -0.69
# E in eV per atom: -6.950
data_Ac3GeP2Rh9
_symmetry_space_group_name_H-M 'P 1'
_symmetry_Int_Tables_number 1
_cell_length_a 6.207
_cell_length_b 6.207
_cell_length_c 8.843
_cell_angle_alpha 90.00
_cell_angle_beta 90.00
_cell_angle_gamma 120.00
loop_
_symmetry_equiv_pos_as_xyz
'x,y,z'
loop_
_atom_site_label
_atom_site_type_symbol
_atom_site_fract_x
_atom_site_fract_y
_atom_site_fract_z
Rh1 Rh 0.500 0.000 0.000
Rh2 Rh 0.153 0.847 0.288
Rh3 Rh 0.847 0.693 0.712
Rh4 Rh 0.847 0.153 0.712
Rh5 Rh 0.153 0.307 0.288
Ac1 Ac 0.667 0.333 0.350
Rh6 Rh 0.307 0.153 0.712
P1 P 0.333 0.667 0.163
Rh7 Rh 0.500 0.500 0.000
P2 P 0.667 0.333 0.837
Ac2 Ac 0.333 0.667 0.650
Rh8 Rh 0.693 0.847 0.288
Rh9 Rh 0.000 0.500 0.000
Ge1 Ge 0.000 0.000 0.500
Ac3 Ac 0.000 0.000 0.000


# NpAlOs PBE relaxed
# Spin magnetization in μB/f.u.: 2.886
# DFT formation energy in eV/atom: 0.00
# E in eV per atom: -9.305
data_NpAlOs
_symmetry_space_group_name_H-M 'P 1'
_symmetry_Int_Tables_number 1
_cell_length_a 3.208
_cell_length_b 4.451
_cell_length_c 4.451
_cell_angle_alpha 120.00
_cell_angle_beta 90.00
_cell_angle_gamma 90.00
loop_
_symmetry_equiv_pos_as_xyz
'x,y,z'
loop_
_atom_site_label
_atom_site_type_symbol
_atom_site_fract_x
_atom_site_fract_y
_atom_site_fract_z
Np1 Np 0.000 0.000 0.000
Al1 Al 0.500 0.333 0.667
Os1 Os 0.500 0.667 0.333


# Ce5SnGe2 PBE relaxed
# Offset from the most stable computed form in meV per atom: 0.0
# Spin magnetization in μB/f.u.: 7.034
# DFT formation energy in eV/atom: -0.58
# E in eV per atom: -5.947
data_Ce5SnGe2
_symmetry_space_group_name_H-M 'P 1'
_symmetry_Int_Tables_number 1
_cell_length_a 7.974
_cell_length_b 7.974
_cell_length_c 8.952
_cell_angle_alpha 116.45
_cell_angle_beta 116.45
_cell_angle_gamma 90.00
loop_
_symmetry_equiv_pos_as_xyz
'x,y,z'
loop_
_atom_site_label
_atom_site_type_symbol
_atom_site_fract_x
_atom_site_fract_y
_atom_site_fract_z
Ge1 Ge 0.859 0.641 0.000
Sn1 Sn 0.250 0.250 0.500
Sn2 Sn 0.750 0.750 0.500
Ce1 Ce 0.303 0.803 0.287
Ce2 Ce 0.984 0.484 0.287
Ce3 Ce 0.697 0.197 0.713
Ce4 Ce 0.016 0.516 0.713
Ce5 Ce 0.803 0.984 0.287
Ce6 Ce 0.197 0.016 0.713
Ge2 Ge 0.141 0.359 0.000
Ge3 Ge 0.641 0.141 0.000
Ce7 Ce 0.000 0.000 0.000
Ge4 Ge 0.359 0.859 0.000
Ce8 Ce 0.500 0.500 0.000
Ce9 Ce 0.516 0.697 0.713
Ce10 Ce 0.484 0.303 0.287


# La3ZrSb PBE relaxed
# Offset from the most stable computed form in meV per atom: 0.0
# Spin magnetization in μB/f.u.: 0.000
# E in eV per atom: -5.361
# Raw formation energy in eV per atom: 0.130
data_La3ZrSb
_symmetry_space_group_name_H-M 'P 1'
_symmetry_Int_Tables_number 1
_cell_length_a 5.600
_cell_length_b 5.600
_cell_length_c 5.600
_cell_angle_alpha 90.00
_cell_angle_beta 90.00
_cell_angle_gamma 90.00
loop_
_symmetry_equiv_pos_as_xyz
'x,y,z'
loop_
_atom_site_label
_atom_site_type_symbol
_atom_site_fract_x
_atom_site_fract_y
_atom_site_fract_z
La1 La 0.500 0.000 0.000
La2 La 0.000 0.500 0.000
La3 La 0.000 0.000 0.500
Sb1 Sb 0.500 0.500 0.500
Zr1 Zr 0.000 0.000 0.000


> Look up the E of the first one.

-6.950 eV per atom


> Among the records above, which one has the highest spin magnetization?

Ce5SnGe2


> E of number 1 (Ac3GeP2Rh9)?

-6.950 eV per atom


> Among the records above, which one has the highest spin magnetization?

Ce5SnGe2